# 1
Here is a geometry-optimized ErAl3ZnPd structure from Alexandria. Energies are from PBE.

```
ErAl3ZnPd
1.0
3.289 -6.243 0.000
3.289 6.243 0.000
0.000 0.000 5.551
Er Al Zn Pd
2 6 2 2
direct
0.207 0.793 0.750
0.793 0.207 0.250
0.200 0.200 0.000
0.200 0.200 0.500
0.355 0.645 0.250
0.645 0.355 0.750
0.800 0.800 0.000
0.800 0.800 0.500
0.426 0.574 0.750
0.574 0.426 0.250
0.146 0.854 0.250
0.854 0.146 0.750
```

Values from the calculation:
Crystal system: orthorhombic
Total energy in eV/atom: -4.000
Energy relative to the elements in eV/f.u.: -1.7
SG: Cmcm
Mass density in g/cm³: 6.119
V in Å³ per atom: 19.00
DOS at the Fermi energy in states/eV per cell: 6.04

***

# 2
Here is a geometry-optimized LaPmAu2 structure from Alexandria. Energies are from PBE.

```
LaPmAu2
1.0
4.813 0.000 0.000
0.000 3.930 0.000
0.000 0.000 11.407
La Pm Au
2 2 4
direct
0.000 0.000 0.000
0.000 0.500 0.500
0.500 0.000 0.273
0.500 0.500 0.773
0.000 0.000 0.724
0.000 0.500 0.224
0.500 0.000 0.550
0.500 0.500 0.050
```

Values from the calculation:
Crystal system: orthorhombic
Total energy in eV/atom: -4.878
Energy relative to the elements in eV/f.u.: -3.3
SG: Amm2
Mass density in g/cm³: 10.432
V in Å³ per atom: 26.97
DOS at the Fermi energy in states/eV per cell: 6.24

***

# 3
Here is a geometry-optimized FeTc2Ag structure from Alexandria. Energies are from PBE.

```
FeTc2Ag
1.0
2.723 0.000 0.000
0.000 2.723 0.000
0.000 0.000 7.957
Fe Tc Ag
1 2 1
direct
0.000 0.000 0.000
0.000 0.000 0.460
0.500 0.500 0.228
0.500 0.500 0.743
```

Values from the calculation:
Crystal system: tetragonal
Total energy in eV/atom: -7.694
Energy relative to the elements in eV/f.u.: 1.3
SG: P4mm
Mass density in g/cm³: 10.125
V in Å³ per atom: 14.75
DOS at the Fermi energy in states/eV per cell: 4.75

***

# 4
Here is a geometry-optimized KSn3Ge3 structure from Alexandria. Energies are from PBE.

```
KSn3Ge3
1.0
7.702 0.000 0.000
0.000 7.702 0.000
0.000 0.000 7.702
K Sn Ge
2 6 6
direct
0.000 0.000 0.000
0.500 0.500 0.500
0.000 0.250 0.500
0.000 0.750 0.500
0.250 0.500 0.000
0.500 0.000 0.250
0.500 0.000 0.750
0.750 0.500 0.000
0.000 0.500 0.250
0.000 0.500 0.750
0.250 0.000 0.500
0.500 0.250 0.000
0.500 0.750 0.000
0.750 0.000 0.500
```

Values from the calculation:
Crystal system: cubic
Total energy in eV/atom: -3.848
Energy relative to the elements in eV/f.u.: 0.0
SG: Pm-3n
Mass density in g/cm³: 4.457
V in Å³ per atom: 32.63
DOS at the Fermi energy in states/eV per cell: 2.51

***

- total energy of number 4 (KSn3Ge3)?
  -3.848 eV/atom